# 1
Crystalline HfTa3Cd at its relaxed geometry. Source: Alexandria via LeMat-Bulk, functional PBEsol.

Results
Calculated formation energy (eV/f.u.): 9.29
SG: Pm-3m (221)

abc: 4.853 4.853 4.853
angles: 90.00 90.00 90.00
Positions (direct):
Hf 0.000 0.000 0.000
Ta 0.000 0.000 0.500
Ta 0.000 0.500 0.000
Ta 0.500 0.000 0.000
Cd 0.500 0.500 0.500

***

# 2
Crystalline HfCdTe2 at its relaxed geometry. Source: Alexandria via LeMat-Bulk, functional PBEsol.

Results
SG: R-3m (166)

abc: 3.891 3.891 27.278
angles: 90.00 90.00 120.00
Positions (direct):
Hf 0.000 0.000 0.000
Hf 0.333 0.667 0.667
Hf 0.667 0.333 0.333
Cd 0.000 0.000 0.500
Cd 0.333 0.667 0.167
Cd 0.667 0.333 0.833
Te 0.000 0.000 0.099
Te 0.000 0.000 0.901
Te 0.333 0.667 0.568
Te 0.333 0.667 0.766
Te 0.667 0.333 0.234
Te 0.667 0.333 0.432

***

# 3
Crystalline Hf3TlCd at its relaxed geometry. Source: Alexandria via LeMat-Bulk, functional PBEsol.

Results
Calculated formation energy (eV/f.u.): 6.39
SG: Pm-3m (221)

abc: 5.200 5.200 5.200
angles: 90.00 90.00 90.00
Positions (direct):
Hf 0.000 0.000 0.500
Hf 0.000 0.500 0.000
Hf 0.500 0.000 0.000
Tl 0.000 0.000 0.000
Cd 0.500 0.500 0.500

***

What are the D(E_F) values for these records? In order: 6.0, 2.9, 3.4 states/eV/f.u..
What are the total DFT energy (no corrections) values for these records? In order: -8.01, -4.39, -5.79 eV per atom.